No. 1
# KAgTe

A relaxed KAgTe crystal (PBE, Alexandria).

The formation energy from raw total energies comes out at -0.65 eV per atom. The magnetization is 0.0000 μB per atom. As for the final energy: -9.03 eV for the cell shown.

a = 4.802 Å, b = 4.802 Å, c = 5.016 Å
α = 90.00°, β = 90.00°, γ = 120.00°
Atoms (fractional coordinates):
Ag 0.000 0.000 0.833
K 0.667 0.333 0.333
Te 0.333 0.667 0.833



No. 2
# KZrAu3

A relaxed KZrAu3 crystal (PBE, Alexandria).

The magnetization is 0.3625 μB per atom. As for the final energy: -13.42 eV for the cell shown. The energy of formation comes out at 1212 meV per atom.

a = 5.244 Å, b = 5.244 Å, c = 5.244 Å
α = 90.00°, β = 90.00°, γ = 90.00°
Each line ends with the local moment (μB).
Atoms (fractional coordinates):
K 0.000 0.000 0.000  -0.01
Au 0.000 0.000 0.500  -0.04
Au 0.500 0.000 0.000  0.01
Au 0.000 0.500 0.000  -0.02
Zr 0.500 0.500 0.500  1.12



No. 3
# Cd2GeB2Rh5

A relaxed Cd2GeB2Rh5 crystal (PBE, Alexandria).

The magnetization is 0.0000 μB per atom. As for the final energy: -120.72 eV for the cell shown. The energy of formation comes out at -380 meV per atom.

a = 2.917 Å, b = 9.635 Å, c = 9.635 Å
α = 90.00°, β = 90.00°, γ = 90.00°
Atoms (fractional coordinates):
Ge 0.000 0.000 0.000
Ge 0.000 0.500 0.500
Cd 0.000 0.176 0.324
Cd 0.000 0.324 0.824
Cd 0.000 0.824 0.676
Cd 0.000 0.676 0.176
Rh 0.500 0.285 0.570
Rh 0.500 0.785 0.930
Rh 0.500 0.500 0.000
Rh 0.500 0.070 0.785
Rh 0.500 0.570 0.715
Rh 0.500 0.215 0.070
Rh 0.500 0.715 0.430
Rh 0.500 0.430 0.285
Rh 0.500 0.000 0.500
Rh 0.500 0.930 0.215
B 0.000 0.124 0.624
B 0.000 0.876 0.376
B 0.000 0.624 0.876
B 0.000 0.376 0.124



No. 4
# PrCd2AgAu4

A relaxed PrCd2AgAu4 crystal (PBE, Alexandria).

The magnetization is 0.0000 μB per atom. As for the final energy: -25.37 eV for the cell shown. The energy of formation comes out at -350 meV per atom.

a = 4.790 Å, b = 4.790 Å, c = 9.016 Å
α = 74.60°, β = 74.60°, γ = 60.00°
Atoms (fractional coordinates):
Au 0.610 0.610 0.170
Au 0.126 0.126 0.622
Au 0.874 0.874 0.378
Au 0.390 0.390 0.830
Ag 0.500 0.500 0.500
Pr 0.000 0.000 0.000
Cd 0.757 0.757 0.729
Cd 0.243 0.243 0.271



No. 5
# In2CuRh

A relaxed In2CuRh crystal (PBE, Alexandria).

The magnetization is 0.0000 μB per atom. As for the final energy: -17.48 eV for the cell shown. The energy of formation comes out at -140 meV per atom.

a = 5.246 Å, b = 5.246 Å, c = 4.591 Å
α = 73.15°, β = 73.15°, γ = 35.46°
Atoms (fractional coordinates):
Rh 0.489 0.489 0.459
In 0.234 0.234 0.310
In 0.011 0.011 0.948
Cu 0.766 0.766 0.783



No. 6
# Ba2TlCd12Au3

A relaxed Ba2TlCd12Au3 crystal (PBE, Alexandria).

The magnetization is 0.0000 μB per atom. As for the final energy: -26.63 eV for the cell shown. The energy of formation comes out at 22 meV per atom.

a = 8.658 Å, b = 8.658 Å, c = 8.658 Å
α = 72.57°, β = 72.57°, γ = 72.57°
Atoms (fractional coordinates):
Au 0.000 0.000 0.500
Au 0.500 0.000 0.000
Au 0.000 0.500 0.000
Cd 0.850 0.298 0.298
Cd 0.853 0.853 0.363
Cd 0.363 0.853 0.853
Cd 0.147 0.147 0.637
Cd 0.298 0.298 0.850
Cd 0.637 0.147 0.147
Cd 0.298 0.850 0.298
Cd 0.853 0.363 0.853
Cd 0.147 0.637 0.147
Cd 0.150 0.702 0.702
Cd 0.702 0.150 0.702
Cd 0.702 0.702 0.150
Ba 0.602 0.602 0.602
Ba 0.398 0.398 0.398
Tl 0.000 0.000 0.000



No. 7
# Si4Ru5W

A relaxed Si4Ru5W crystal (PBE, Alexandria).

The formation energy from raw total energies comes out at -0.54 eV per atom. The magnetization is 0.0000 μB per atom. As for the final energy: -86.45 eV for the cell shown.

a = 2.909 Å, b = 2.909 Å, c = 15.473 Å
α = 90.00°, β = 90.00°, γ = 90.00°
Atoms (fractional coordinates):
Si 0.000 0.000 0.596
Si 0.000 0.000 0.789
Si 0.000 0.000 0.211
Si 0.000 0.000 0.404
Ru 0.500 0.500 0.311
Ru 0.500 0.500 0.689
Ru 0.500 0.500 0.500
Ru 0.500 0.500 0.878
Ru 0.500 0.500 0.122
W 0.000 0.000 0.000



No. 8
# NaScBi

A relaxed NaScBi crystal (PBE, Alexandria).

The magnetization is 0.1899 μB per atom. As for the final energy: -25.68 eV for the cell shown. The energy of formation comes out at -436 meV per atom.

a = 4.793 Å, b = 4.793 Å, c = 7.898 Å
α = 90.00°, β = 90.00°, γ = 90.00°
Each line ends with the local moment (μB).
Atoms (fractional coordinates):
Bi 0.500 0.000 0.733  -0.03
Bi 0.000 0.500 0.267  -0.03
Sc 0.000 0.000 0.500  0.37
Sc 0.500 0.500 0.500  0.37
Na 0.500 0.000 0.150  0.00
Na 0.000 0.500 0.850  0.00